OsW7 | PBE | optimized geometry Values from VASP.

Results
crystal system: cubic

The structure in Quantum ESPRESSO input format:
```
&SYSTEM
  ibrav = 0, nat = 8, ntyp = 2
/
ATOMIC_SPECIES
Os 190.23 Os.upf
W 183.84 W.upf
CELL_PARAMETERS angstrom
0.0000 4.0146 4.0146
4.0146 0.0000 4.0146
4.0146 4.0146 0.0000
ATOMIC_POSITIONS crystal
Os 0.0000 0.0000 0.0000
W 0.0000 0.0000 0.5000
W 0.0000 0.5000 0.0000
W 0.0000 0.5000 0.5000
W 0.5000 0.0000 0.0000
W 0.5000 0.0000 0.5000
W 0.5000 0.5000 0.0000
W 0.5000 0.5000 0.5000
```

---

BaC3 | PBE | optimized geometry Values from VASP.

Results
excess energy over the best structure of this formula in the dataset: 3.032 eV/atom
crystal system: cubic

The structure in Quantum ESPRESSO input format:
```
&SYSTEM
  ibrav = 0, nat = 4, ntyp = 2
/
ATOMIC_SPECIES
Ba 137.33 Ba.upf
C 12.01 C.upf
CELL_PARAMETERS angstrom
-2.5059 2.5059 2.5059
2.5059 -2.5059 2.5059
2.5059 2.5059 -2.5059
ATOMIC_POSITIONS crystal
Ba 0.0000 0.0000 0.0000
C 0.0000 0.5000 0.5000
C 0.5000 0.0000 0.5000
C 0.5000 0.5000 0.0000
```

---

Number 1: calculated volume 16.18 A^3/atom, Fermi-level density of states 0.894 states/eV/atom, formation energy from the elements 372 meV per atom. Number 2: calculated volume 15.73 A^3/atom, Fermi-level density of states 0.376 states/eV/atom, formation energy from the elements 3297 meV per atom.